No. 1
Material: Sr3Pt
Method: DFT, SCAN
State: single point on PBEsol structure

- VASP energy: -34.76 eV per atom
- Energy relative to the elements: -0.51 eV/atom
- Magnetization: 0.3 μB per cell

Cell: 11.0263 6.9882 11.9080 Å, 90.00 90.00 90.00°
Element x y z (fractional)
Sr 0.0000 0.1001 0.0000
Sr 0.0000 0.2155 0.3790
Sr 0.0000 0.3674 0.7100
Sr 0.1589 0.7086 0.3081
Sr 0.1749 0.6221 0.9990
Sr 0.1829 0.8197 0.6554
Sr 0.3171 0.1803 0.1554
Sr 0.3251 0.3779 0.4990
Sr 0.3411 0.2914 0.8081
Sr 0.5000 0.6326 0.2100
Sr 0.5000 0.7845 0.8790
Sr 0.5000 0.8999 0.5000
Sr 0.6589 0.2914 0.8081
Sr 0.6749 0.3779 0.4990
Sr 0.6829 0.1803 0.1554
Sr 0.8171 0.8197 0.6554
Sr 0.8251 0.6221 0.9990
Sr 0.8411 0.7086 0.3081
Pt 0.0000 0.4327 0.1644
Pt 0.0000 0.5956 0.5005
Pt 0.0000 0.7618 0.8318
Pt 0.5000 0.2382 0.3318
Pt 0.5000 0.4044 0.0005
Pt 0.5000 0.5673 0.6644



No. 2
Material: Sr3Pt2
Method: DFT, SCAN
State: single point on PBEsol structure

- VASP energy: -42.26 eV per atom
- Energy relative to the elements: -0.82 eV/atom
- Magnetization: 0.0 μB per cell

Cell: 5.1142 5.1142 6.3099 Å, 90.00 90.00 120.00°
Element x y z (fractional)
Sr 0.0000 0.0000 0.0000
Sr 0.3333 0.6667 0.3300
Sr 0.6667 0.3333 0.6700
Pt 0.3333 0.6667 0.8322
Pt 0.6667 0.3333 0.1678



No. 3
Material: Sr3Pt
Method: DFT, SCAN
State: single point on PBEsol structure

- VASP energy: -34.49 eV per atom
- Energy relative to the elements: -0.24 eV/atom
- Magnetization: 0.1 μB per cell

Cell: 4.9050 4.9050 6.4174 Å, 90.00 90.00 90.00°
Element x y z (fractional)
Sr 0.0000 0.0000 0.0000
Sr 0.0000 0.5000 0.4603
Sr 0.5000 0.0000 0.4603
Pt 0.5000 0.5000 0.1855



No. 4
Material: SrTaPt
Method: DFT, SCAN
State: single point on PBEsol structure

- VASP energy: -53.24 eV per atom
- Energy relative to the elements: -0.23 eV/atom
- Magnetization: 0.0 μB per cell

Cell: 3.4189 3.4189 12.2054 Å, 90.00 90.00 90.00°
Element x y z (fractional)
Sr 0.0000 0.0000 0.0000
Sr 0.5000 0.5000 0.5000
Ta 0.0000 0.0000 0.2803
Ta 0.5000 0.5000 0.7803
Pt 0.0000 0.0000 0.7024
Pt 0.5000 0.5000 0.2024



No. 5
Material: Sr2TaPt
Method: DFT, SCAN
State: single point on PBEsol structure

- VASP energy: -45.39 eV per atom
- Energy relative to the elements: -0.06 eV/atom
- Magnetization: 0.1 μB per cell

Cell: 3.5508 3.8716 18.0634 Å, 90.00 90.00 90.00°
Element x y z (fractional)
Sr 0.0000 0.0000 0.1508
Sr 0.0000 0.0000 0.8492
Sr 0.5000 0.5000 0.3492
Sr 0.5000 0.5000 0.6508
Ta 0.0000 0.5000 0.0000
Ta 0.5000 0.0000 0.5000
Pt 0.0000 0.5000 0.5000
Pt 0.5000 0.0000 0.0000



No. 6
Material: SrTaPt
Method: DFT, SCAN
State: single point on PBEsol structure

- VASP energy: -52.65 eV per atom
- Energy relative to the elements: 0.36 eV/atom
- Magnetization: 3.3 μB per cell

Cell: 6.6317 6.6317 6.6317 Å, 90.00 90.00 90.00°
Element x y z (fractional)
Sr 0.0000 0.0000 0.0000
Sr 0.0000 0.5000 0.5000
Sr 0.5000 0.0000 0.5000
Sr 0.5000 0.5000 0.0000
Ta 0.0000 0.0000 0.5000
Ta 0.0000 0.5000 0.0000
Ta 0.5000 0.0000 0.0000
Ta 0.5000 0.5000 0.5000
Pt 0.2500 0.2500 0.2500
Pt 0.2500 0.7500 0.7500
Pt 0.7500 0.2500 0.7500
Pt 0.7500 0.7500 0.2500



No. 7
Material: Sr2TaPt
Method: DFT, SCAN
State: single point on PBEsol structure

- VASP energy: -44.71 eV per atom
- Energy relative to the elements: 0.62 eV/atom
- Magnetization: 0.0 μB per cell

Cell: 3.3210 3.3210 30.4636 Å, 90.00 90.00 120.00°
Element x y z (fractional)
Sr 0.0000 0.0000 0.2424
Sr 0.0000 0.0000 0.7576
Sr 0.3333 0.6667 0.4243
Sr 0.3333 0.6667 0.9091
Sr 0.6667 0.3333 0.0909
Sr 0.6667 0.3333 0.5757
Ta 0.0000 0.0000 0.0000
Ta 0.3333 0.6667 0.6667
Ta 0.6667 0.3333 0.3333
Pt 0.0000 0.0000 0.5000
Pt 0.3333 0.6667 0.1667
Pt 0.6667 0.3333 0.8333



No. 8
Material: Sr2TaPt
Method: DFT, SCAN
State: single point on PBEsol structure

- VASP energy: -44.96 eV per atom
- Energy relative to the elements: 0.37 eV/atom
- Magnetization: 0.0 μB per cell

Cell: 3.0957 3.3569 9.4807 Å, 90.00 90.00 90.00°
Element x y z (fractional)
Sr 0.0000 0.0000 0.2143
Sr 0.0000 0.0000 0.7857
Ta 0.5000 0.5000 0.5000
Pt 0.5000 0.5000 0.0000



No. 9
Material: Sr2TaPt
Method: DFT, SCAN
State: single point on PBEsol structure

- VASP energy: -44.75 eV per atom
- Energy relative to the elements: 0.58 eV/atom
- Magnetization: 0.0 μB per cell

Cell: 5.9446 9.8437 3.1726 Å, 90.00 90.00 90.00°
Element x y z (fractional)
Sr 0.2500 0.2500 0.0000
Sr 0.2500 0.7500 0.0000
Sr 0.7500 0.2500 0.0000
Sr 0.7500 0.7500 0.0000
Ta 0.0000 0.0000 0.5000
Ta 0.5000 0.5000 0.5000
Pt 0.0000 0.5000 0.5000
Pt 0.5000 0.0000 0.5000



No. 10
Material: SrTc2Pt
Method: DFT, SCAN
State: single point on PBEsol structure

- VASP energy: -40.27 eV per atom
- Energy relative to the elements: 0.37 eV/atom
- Magnetization: 0.0 μB per cell

Cell: 2.7754 4.8008 10.7564 Å, 90.00 90.00 90.00°
Element x y z (fractional)
Sr 0.0000 0.0000 0.0000
Sr 0.5000 0.5000 0.5000
Tc 0.0000 0.5000 0.2170
Tc 0.0000 0.5000 0.7830
Tc 0.5000 0.0000 0.2830
Tc 0.5000 0.0000 0.7170
Pt 0.0000 0.0000 0.5000
Pt 0.5000 0.5000 0.0000



No. 11
Material: SrTc2Pt
Method: DFT, SCAN
State: single point on PBEsol structure

- VASP energy: -39.88 eV per atom
- Energy relative to the elements: 0.77 eV/atom
- Magnetization: 0.0 μB per cell

Cell: 3.9524 3.9524 8.9618 Å, 90.00 90.00 90.00°
Element x y z (fractional)
Sr 0.0000 0.0000 0.0000
Sr 0.5000 0.5000 0.5000
Tc 0.0000 0.5000 0.2500
Tc 0.0000 0.5000 0.7500
Tc 0.5000 0.0000 0.2500
Tc 0.5000 0.0000 0.7500
Pt 0.0000 0.0000 0.5000
Pt 0.5000 0.5000 0.0000



No. 12
Material: SrTcPt2
Method: DFT, SCAN
State: single point on PBEsol structure

- VASP energy: -48.93 eV per atom
- Energy relative to the elements: 0.50 eV/atom
- Magnetization: 0.0 μB per cell

Cell: 2.8555 2.8555 29.3044 Å, 90.00 90.00 120.00°
Element x y z (fractional)
Sr 0.0000 0.0000 0.0000
Sr 0.3333 0.6667 0.6667
Sr 0.6667 0.3333 0.3333
Tc 0.0000 0.0000 0.7623
Tc 0.3333 0.6667 0.4290
Tc 0.6667 0.3333 0.0956
Pt 0.0000 0.0000 0.2444
Pt 0.0000 0.0000 0.4995
Pt 0.3333 0.6667 0.1661
Pt 0.3333 0.6667 0.9111
Pt 0.6667 0.3333 0.5778
Pt 0.6667 0.3333 0.8328



No. 13
Material: SrTc2Pt
Method: DFT, SCAN
State: single point on PBEsol structure

- VASP energy: -39.97 eV per atom
- Energy relative to the elements: 0.68 eV/atom
- Magnetization: 0.0 μB per cell

Cell: 3.8568 3.8568 4.7653 Å, 90.00 90.00 90.00°
Element x y z (fractional)
Sr 0.0000 0.0000 0.0000
Tc 0.0000 0.5000 0.5000
Tc 0.5000 0.0000 0.5000
Pt 0.5000 0.5000 0.0000



No. 14
Material: SrTc2Pt
Method: DFT, SCAN
State: single point on PBEsol structure

- VASP energy: -39.74 eV per atom
- Energy relative to the elements: 0.91 eV/atom
- Magnetization: 10.5 μB per cell

Cell: 6.4583 6.4583 6.4583 Å, 90.00 90.00 90.00°
Element x y z (fractional)
Sr 0.0000 0.0000 0.0000
Sr 0.0000 0.5000 0.5000
Sr 0.5000 0.0000 0.5000
Sr 0.5000 0.5000 0.0000
Tc 0.2500 0.2500 0.2500
Tc 0.2500 0.2500 0.7500
Tc 0.2500 0.7500 0.2500
Tc 0.2500 0.7500 0.7500
Tc 0.7500 0.2500 0.2500
Tc 0.7500 0.2500 0.7500
Tc 0.7500 0.7500 0.2500
Tc 0.7500 0.7500 0.7500
Pt 0.0000 0.0000 0.5000
Pt 0.0000 0.5000 0.0000
Pt 0.5000 0.0000 0.0000
Pt 0.5000 0.5000 0.5000



No. 15
Material: SrTcPt
Method: DFT, SCAN
State: single point on PBEsol structure

- VASP energy: -41.84 eV per atom
- Energy relative to the elements: 0.67 eV/atom
- Magnetization: 7.2 μB per cell

Cell: 6.3462 6.3462 6.3462 Å, 90.00 90.00 90.00°
Element x y z (fractional)
Sr 0.0000 0.0000 0.0000
Sr 0.0000 0.5000 0.5000
Sr 0.5000 0.0000 0.5000
Sr 0.5000 0.5000 0.0000
Tc 0.2500 0.2500 0.7500
Tc 0.2500 0.7500 0.2500
Tc 0.7500 0.2500 0.2500
Tc 0.7500 0.7500 0.7500
Pt 0.0000 0.0000 0.5000
Pt 0.0000 0.5000 0.0000
Pt 0.5000 0.0000 0.0000
Pt 0.5000 0.5000 0.5000



No. 16
Material: SrTc2Pt
Method: DFT, SCAN
State: single point on PBEsol structure

- VASP energy: -40.06 eV per atom
- Energy relative to the elements: 0.59 eV/atom
- Magnetization: 0.0 μB per cell

Cell: 2.7241 5.0544 5.1164 Å, 90.00 92.93 90.00°
Element x y z (fractional)
Sr 0.0000 0.0000 0.0000
Tc 0.3846 0.5000 0.7358
Tc 0.6154 0.5000 0.2642
Pt 0.5000 0.0000 0.5000



No. 17
Material: SrTcPt2
Method: DFT, SCAN
State: single point on PBEsol structure

- VASP energy: -49.46 eV per atom
- Energy relative to the elements: -0.03 eV/atom
- Magnetization: 0.0 μB per cell

Cell: 9.3080 2.8484 5.6606 Å, 90.00 98.60 90.00°
Element x y z (fractional)
Sr 0.0000 0.0000 0.0000
Sr 0.5000 0.5000 0.0000
Tc 0.2353 0.0000 0.6423
Tc 0.7353 0.5000 0.6423
Pt 0.9995 0.5000 0.5192
Pt 0.2581 0.5000 0.2672
Pt 0.4995 0.0000 0.5192
Pt 0.7581 0.0000 0.2672



No. 18
Material: SrTcPt
Method: DFT, SCAN
State: single point on PBEsol structure

- VASP energy: -41.74 eV per atom
- Energy relative to the elements: 0.77 eV/atom
- Magnetization: 0.0 μB per cell

Cell: 2.9455 2.9455 7.4129 Å, 90.00 90.00 120.00°
Element x y z (fractional)
Sr 0.0000 0.0000 0.0000
Tc 0.3333 0.6667 0.6355
Pt 0.6667 0.3333 0.3595



No. 19
Material: SrTcPt2
Method: DFT, SCAN
State: single point on PBEsol structure

- VASP energy: -49.39 eV per atom
- Energy relative to the elements: 0.04 eV/atom
- Magnetization: 0.0 μB per cell

Cell: 2.8023 4.0046 6.6650 Å, 90.00 90.00 90.00°
Element x y z (fractional)
Sr 0.0000 0.0000 0.0000
Tc 0.5000 0.5000 0.3406
Pt 0.0000 0.0000 0.4837
Pt 0.5000 0.5000 0.7237



No. 20
Material: SrTePt
Method: DFT, SCAN
State: single point on PBEsol structure

- VASP energy: -44.52 eV per atom
- Magnetization: 0.0 μB per cell
- ΔE_f (raw): -29.52 kcal/mol of atoms

Cell: 4.5454 4.5454 4.3294 Å, 90.00 90.00 120.00°
Element x y z (fractional)
Sr 0.0000 0.0000 0.0000
Te 0.3333 0.6667 0.5000
Pt 0.6667 0.3333 0.5000